Density functional theory data (PBEsol) for TaPCl after structural relaxation.

Cell lengths 4.2894, 4.2894, 4.2894 Å; angles 60.00, 60.00, 60.00 degrees
With the nearest neighbours (Å) after each atom.
Positions (direct):
1 Ta 0.0000 0.0000 0.0000  4 Cl 2.63, 4 P 2.63
2 P 0.2500 0.2500 0.2500  4 Ta 2.63
3 Cl 0.7500 0.7500 0.7500  4 Ta 2.63

Calculated values
- Raw formation energy: -0.067 eV/atom
- Total DFT energy (no corrections): -6.85 eV/atom
- Symmetry: No. 216